This record from Alexandria describes an optimized crystal structure of Cs4NdU3S12. The functional is GGA-PBE.

Computed properties:
**Energy relative to the elements, uncorrected**: -1.3885 eV/atom
**Raw total energy**: -5.97 eV/atom
**Crystal system**: cubic

Geometry as POSCAR:
```
Cs4NdU3S12
1.0
9.1749 0.0000 0.0000
-3.0583 8.6502 0.0000
-3.0583 -4.3251 7.4913
S U Cs Nd
12 3 4 1
Direct
0.2500 0.5000 0.7500
0.2644 0.2644 0.0000
0.5000 0.2500 0.7500
0.7356 0.7356 0.0000
0.7500 0.5000 0.2500
0.0000 0.7356 0.7356
0.2644 0.0000 0.2644
0.2500 0.7500 0.5000
0.0000 0.2644 0.2644
0.7356 0.0000 0.7356
0.7500 0.2500 0.5000
0.5000 0.7500 0.2500
0.5000 0.5000 0.0000
0.5000 0.0000 0.5000
0.0000 0.5000 0.5000
0.5000 0.5000 0.5000
0.5000 0.0000 0.0000
0.0000 0.0000 0.5000
0.0000 0.5000 0.0000
0.0000 0.0000 0.0000
```

This record from Alexandria describes an optimized crystal structure of Pm2ZnGa3Rh4. The functional is GGA-PBE.

Computed properties:
**Formation enthalpy at 0 K**: -7.5 eV per formula unit
**Raw total energy**: -5.68 eV/atom
**Crystal system**: tetragonal

Geometry as POSCAR:
```
Pm2ZnGa3Rh4
1.0
-0.7621 4.1673 -0.4673
-3.8363 -0.5011 1.7880
4.0540 1.7726 9.1952
Zn Rh Pm Ga
1 4 2 3
Direct
0.5000 0.5000 0.5000
0.0000 0.0000 0.0000
0.5000 0.0000 0.6329
0.0000 0.5000 0.3671
0.5000 0.5000 0.0000
0.0000 0.5000 0.7578
0.5000 0.0000 0.2422
0.5000 0.0000 0.8745
0.0000 0.5000 0.1255
0.0000 0.0000 0.5000
```

This record from Alexandria describes an optimized crystal structure of SbAuF3. The functional is GGA-PBE.

Computed properties:
**Energy relative to the elements, uncorrected**: -0.5234 eV/atom
**Raw total energy**: -3.13 eV/atom
**Crystal system**: cubic

Geometry as POSCAR:
```
SbAuF3
1.0
4.4721 0.0000 0.0000
0.0000 4.4721 0.0000
0.0000 0.0000 4.4721
F Au Sb
3 1 1
Direct
0.0000 0.0000 0.5000
0.5000 0.0000 0.0000
0.0000 0.5000 0.0000
0.0000 0.0000 0.0000
0.5000 0.5000 0.5000
```

This record from Alexandria describes an optimized crystal structure of LuPaSb. The functional is GGA-PBE.

Computed properties:
**Energy relative to the elements, uncorrected**: -0.2466 eV/atom
**Raw total energy**: -6.29 eV/atom
**Crystal system**: tetragonal

Geometry as POSCAR:
```
LuPaSb
1.0
-1.6540 3.4680 -0.1982
-1.4089 -0.4692 3.5492
6.0242 0.7624 0.4070
Pa Lu Sb
1 1 1
Direct
0.9391 0.9391 0.8781
0.6339 0.6339 0.2677
0.2771 0.2771 0.5541
```

This record from Alexandria describes an optimized crystal structure of AcHoCl2. The functional is GGA-PBE.

Computed properties:
**Energy relative to the elements, uncorrected**: -1.2171 eV/atom
**Raw total energy**: -4.31 eV/atom
**Crystal system**: trigonal

Geometry as POSCAR:
```
AcHoCl2
1.0
-3.3929 -1.2313 0.4318
-0.8984 -1.8361 3.0059
-3.9714 7.5491 5.6222
Cl Ac Ho
2 1 1
Direct
0.8965 0.8965 0.3104
0.1035 0.1035 0.6896
0.0000 0.0000 0.0000
0.5000 0.5000 0.5000
```

This record from Alexandria describes an optimized crystal structure of ScVSbI2. The functional is GGA-PBE.

Computed properties:
**Energy relative to the elements, uncorrected**: 0.2718 eV/atom
**Raw total energy**: -4.26 eV/atom
**Crystal system**: tetragonal

Geometry as POSCAR:
```
ScVSbI2
1.0
5.2281 0.0000 0.0000
0.0000 5.2281 0.0000
0.0000 0.0000 5.3485
Sc I Sb V
1 2 1 1
Direct
0.5000 0.5000 0.5000
0.0000 0.5000 0.0000
0.5000 0.0000 0.0000
0.0000 0.0000 0.5000
0.0000 0.0000 0.0000
```

This record from Alexandria describes an optimized crystal structure of PmErSc. The functional is GGA-PBE.

Computed properties:
**Formation enthalpy at 0 K**: 0.2 eV per formula unit
**Raw total energy**: -5.16 eV/atom
**Crystal system**: tetragonal

Geometry as POSCAR:
```
PmErSc
1.0
-2.5006 1.9435 -1.4778
-2.1553 -0.7634 2.6432
4.7197 5.2534 3.0553
Sc Er Pm
1 1 1
Direct
0.6650 0.6650 0.3299
0.0064 0.0064 0.0128
0.3287 0.3287 0.6573
```

This record from Alexandria describes an optimized crystal structure of AcTb4Dy5. The functional is GGA-PBE.

Computed properties:
**Formation enthalpy at 0 K**: 0.4 eV per formula unit
**Raw total energy**: -4.53 eV/atom
**Crystal system**: tetragonal

Geometry as POSCAR:
```
AcTb4Dy5
1.0
-2.5650 -2.5257 -0.1227
2.0521 -1.9771 -2.2030
10.3723 -11.5046 19.9863
Dy Tb Ac
5 4 1
Direct
0.5000 0.5000 0.6957
0.5000 0.5000 0.8911
0.5000 0.5000 0.1089
0.5000 0.5000 0.5000
0.5000 0.5000 0.3043
0.0000 0.0000 0.2061
0.0000 0.0000 0.5979
0.0000 0.0000 0.7939
0.0000 0.0000 0.4021
0.0000 0.0000 0.0000
```

This record from Alexandria describes an optimized crystal structure of NaTcGe2. The functional is GGA-PBE.

Computed properties:
**Formation enthalpy at 0 K**: -0.2 eV per formula unit
**Raw total energy**: -5.27 eV/atom
**Crystal system**: trigonal

Geometry as POSCAR:
```
NaTcGe2
1.0
-2.4429 -0.9410 1.6850
-0.5039 -3.0393 0.4481
3.9131 -1.0710 7.9514
Tc Ge Na
1 2 1
Direct
0.0000 0.0000 0.0000
0.2627 0.2627 0.2118
0.7373 0.7373 0.7882
0.5000 0.5000 0.5000
```

This record from Alexandria describes an optimized crystal structure of KMg2Ag. The functional is GGA-PBE.

Computed properties:
**Formation enthalpy at 0 K**: 0.4 eV per formula unit
**Raw total energy**: -1.68 eV/atom
**Crystal system**: monoclinic

Geometry as POSCAR:
```
KMg2Ag
1.0
5.3119 0.0711 -0.0239
4.3434 3.0587 -0.0239
0.8302 0.2691 7.2639
Mg Ag K
2 1 1
Direct
0.2426 0.2426 0.2749
0.9867 0.9867 0.0836
0.5119 0.5119 0.4044
0.7588 0.7588 0.7371
```

This record from Alexandria describes an optimized crystal structure of LiMo2PdS. The functional is GGA-PBE.

Computed properties:
**Energy relative to the elements, uncorrected**: 1.5051 eV/atom
**Raw total energy**: -5.07 eV/atom
**Crystal system**: tetragonal

Geometry as POSCAR:
```
LiMo2PdS
1.0
5.1654 0.0000 0.0000
0.0000 4.5773 0.0000
0.0000 0.0000 5.1654
Mo Pd S Li
2 1 1 1
Direct
0.5000 0.0000 0.0000
0.0000 0.0000 0.5000
0.0000 0.0000 0.0000
0.0000 0.5000 0.0000
0.5000 0.5000 0.5000
```

This record from Alexandria describes an optimized crystal structure of HfSbIr2Au. The functional is GGA-PBE.

Computed properties:
**Energy relative to the elements, uncorrected**: 1.0329 eV/atom
**Raw total energy**: -5.98 eV/atom
**Crystal system**: tetragonal

Geometry as POSCAR:
```
HfSbIr2Au
1.0
-2.7240 1.8765 3.5613
-2.0564 -4.6230 0.8630
3.5231 -0.9688 3.2052
Hf Au Sb Ir
1 1 1 2
Direct
0.0000 0.0000 0.0000
0.0000 0.5000 0.0000
0.5000 0.5000 0.5000
0.0000 0.0000 0.5000
0.5000 0.0000 0.0000
```

Which of these has the lowest raw total energy? LuPaSb

The highest raw total energy belongs to which entry? KMg2Ag

raw total energy of number 12 (HfSbIr2Au)? -5.98 eV/atom

Which value of raw total energy does entry 12 give? -5.98 eV/atom